SrSiPd2Pt: optimized geometry, PBE. Values from VASP.

Structure (Quantum ESPRESSO input):
```
&SYSTEM
  ibrav = 0, nat = 5, ntyp = 4
/
ATOMIC_SPECIES
Sr 87.62 Sr.upf
Si 28.09 Si.upf
Pd 106.42 Pd.upf
Pt 195.08 Pt.upf
CELL_PARAMETERS angstrom
5.001 0.000 0.000
0.000 5.001 0.000
0.000 0.000 5.399
ATOMIC_POSITIONS crystal
Sr 0.000 0.000 0.000
Si 0.500 0.500 0.000
Pd 0.000 0.500 0.500
Pd 0.500 0.000 0.500
Pt 0.000 0.000 0.500
```

The raw total energy is -4.06 eV/atom. The formation energy (no corrections) comes out at 651.2 meV/atom. The value obtained for the energy above the most stable polymorph in this dataset is 121.3 kJ/mol of atoms.



Sr2Si3PdPt4: optimized geometry, PBE. Values from VASP.

Structure (Quantum ESPRESSO input):
```
&SYSTEM
  ibrav = 0, nat = 10, ntyp = 4
/
ATOMIC_SPECIES
Sr 87.62 Sr.upf
Si 28.09 Si.upf
Pd 106.42 Pd.upf
Pt 195.08 Pt.upf
CELL_PARAMETERS angstrom
4.361 0.000 0.000
0.000 4.361 0.000
0.000 0.000 10.073
ATOMIC_POSITIONS crystal
Sr 0.000 0.500 0.244
Sr 0.500 0.000 0.756
Si 0.000 0.000 0.000
Si 0.000 0.500 0.618
Si 0.500 0.000 0.382
Pd 0.500 0.500 0.000
Pt 0.000 0.000 0.500
Pt 0.000 0.500 0.853
Pt 0.500 0.000 0.147
Pt 0.500 0.500 0.500
```

The raw total energy is -5.72 eV/atom. The formation energy (no corrections) comes out at -823.8 meV/atom.



no.,M_tot (Bohr magnetons per cell)
1,0.00
2,0.00